Crystalline BaFeS at its relaxed geometry. Source: Alexandria via LeMat-Bulk, functional GGA-PBE.

```
BaFeS
1.0
-3.479 1.513 -0.204
-1.500 -3.483 -0.239
-0.732 -0.360 9.821
Fe S Ba
2 2 2
Cartesian
-2.856 -1.165 4.689 Fe
-0.366 -0.180 4.910 Fe
-2.192 0.534 5.971 S
-1.030 -1.879 3.628 S
-1.896 0.680 1.995 Ba
-1.326 -2.024 7.604 Ba
```

**Formation energy without anion corrections**: -2.150 eV per formula unit


Crystalline TbPm4Ho5 at its relaxed geometry. Source: Alexandria via LeMat-Bulk, functional GGA-PBE.

```
TbPm4Ho5
1.0
3.458 0.000 -0.702
-0.122 11.158 -0.597
-0.020 0.461 8.752
Pm Tb Ho
4 1 5
Cartesian
3.301 3.227 7.384 Pm
1.088 8.687 5.336 Pm
2.228 2.932 2.117 Pm
0.014 8.391 0.069 Pm
1.729 0.000 -0.351 Tb
1.668 5.579 -0.650 Ho
2.791 5.317 4.868 Ho
0.524 6.302 2.585 Ho
0.476 10.743 2.354 Ho
2.839 0.876 5.099 Ho
```

**ΔH_f (0 K)**: 1.90 eV per formula unit
**Energy above the lowest structure with this stoichiometry**: 0.00 kJ per mole of atoms


Crystalline DySc2Tc at its relaxed geometry. Source: Alexandria via LeMat-Bulk, functional GGA-PBE.

```
DySc2Tc
1.0
5.878 0.000 0.000
0.000 7.407 0.000
0.000 0.000 8.488
Tc Dy Sc
4 4 8
Cartesian
2.509 6.537 2.122 Tc
3.369 0.871 6.366 Tc
5.448 4.574 6.366 Tc
0.430 2.833 2.122 Tc
0.694 7.137 6.366 Dy
3.633 3.975 2.122 Dy
5.184 0.271 2.122 Dy
2.245 3.433 6.366 Dy
2.120 1.282 3.707 Sc
2.120 1.282 0.537 Sc
3.759 6.125 7.952 Sc
3.759 6.125 4.781 Sc
0.820 4.986 3.707 Sc
5.059 2.421 4.781 Sc
5.059 2.421 7.952 Sc
0.820 4.986 0.537 Sc
```

**ΔH_f (0 K)**: -0.63 eV per formula unit
**Energy above the lowest structure with this stoichiometry**: 0.00 kJ per mole of atoms